This record from Alexandria describes RbVZnO4 after structural relaxation. The functional is PBE with a Hubbard U.

a = 5.144 Å, b = 5.888 Å, c = 8.143 Å
α = 90.00°, β = 105.87°, γ = 90.00°
Sites, in units of the cell vectors:
Rb 0.194 0.250 0.137
Rb 0.806 0.750 0.863
V 0.370 0.250 0.703
V 0.630 0.750 0.297
Zn 0.144 0.750 0.517
Zn 0.856 0.250 0.483
O 0.141 0.015 0.675
O 0.141 0.485 0.675
O 0.392 0.750 0.108
O 0.488 0.750 0.466
O 0.512 0.250 0.534
O 0.608 0.250 0.892
O 0.859 0.515 0.325
O 0.859 0.985 0.325

Output
Theoretical density (g cm⁻³): 3.7
Crystal system: monoclinic
Electronic total energy (eV per cell): -83.8
DOS at the Fermi energy (states/eV per atom): 0.000